[1]
MoRh2C: optimized geometry, PBE.

Summary:
ΔE_f = 677.3 meV per atom
Magnetization = 0.0 μB per formula unit

Cell and atoms, written as CIF:
```
data_MoRh2C
_chemical_formula_sum 'Mo4 Rh8 C4'
_cell_length_a 5.204
_cell_length_b 5.204
_cell_length_c 9.463
_cell_angle_alpha 90.00
_cell_angle_beta 90.00
_cell_angle_gamma 90.00
_symmetry_space_group_name_H-M 'I -4 2 d'
_symmetry_Int_Tables_number 122
_symmetry_space_group_name_Hall 'I -4 2bw'
loop_
_atom_site_label
_atom_site_type_symbol
_atom_site_fract_x
_atom_site_fract_y
_atom_site_fract_z
Mo1 Mo 0.000 0.000 0.000
Rh1 Rh 0.169 0.250 0.625
C1 C 0.000 0.000 0.500
```

[2]
YIrW2: optimized geometry, PBE.

Summary:
ΔE_f = 284.7 meV per atom
Magnetization = 0.0 μB per formula unit
Distance to the lowest polymorph of the same formula = 0.2117 eV/atom

Cell and atoms, written as CIF:
```
data_YIrW2
_chemical_formula_sum 'Y2 Ir2 W4'
_cell_length_a 3.156
_cell_length_b 4.943
_cell_length_c 9.332
_cell_angle_alpha 90.00
_cell_angle_beta 90.00
_cell_angle_gamma 90.00
_symmetry_space_group_name_H-M 'I m m 2'
_symmetry_Int_Tables_number 44
loop_
_symmetry_equiv_pos_as_xyz
'x,y,z'
'-x,-y,z'
'-x,y,z'
'x,-y,z'
'x+1/2,y+1/2,z+1/2'
'-x+1/2,-y+1/2,z+1/2'
'-x+1/2,y+1/2,z+1/2'
'x+1/2,-y+1/2,z+1/2'
loop_
_atom_site_label
_atom_site_type_symbol
_atom_site_fract_x
_atom_site_fract_y
_atom_site_fract_z
Y1 Y 0.000 0.000 0.000
Ir1 Ir 0.000 0.500 0.767
W1 W 0.000 0.000 0.501
W2 W 0.000 0.500 0.221
```